(1)
Density functional theory data (SCAN) for LiBS2 at its PBEsol-relaxed geometry.

mass density = 2.4 g cm⁻³
space-group type = I-42d, No. 122
uncorrected formation energy = -0.9415 eV per atom
size of the total moment = 0.000 μB per atom
N(E_F) = 0.00 states/eV/atom

abc: 5.360 5.530 5.360
angles: 61.01 90.00 118.99
Sites, in units of the cell vectors:
S1 0.697 0.750 0.375
S2 0.053 0.750 0.875
S3 0.875 0.250 0.697
S4 0.375 0.250 0.053
B1 0.750 0.500 0.750
B2 0.000 0.000 0.000
Li1 0.250 0.500 0.250
Li2 0.500 0.000 0.500

(2)
Density functional theory data (SCAN) for LiBS2 at its PBEsol-relaxed geometry.

mass density = 2.3 g cm⁻³
space-group type = R-3m, No. 166
uncorrected formation energy = -0.0665 eV per atom
size of the total moment = 0.000 μB per atom
N(E_F) = 0.12 states/eV/atom

abc: 3.141 3.141 7.063
angles: 77.16 77.16 60.00
Sites, in units of the cell vectors:
S1 0.890 0.890 0.331
S2 0.110 0.110 0.669
B1 0.500 0.500 0.500
Li1 0.000 0.000 0.000

(3)
Density functional theory data (SCAN) for SrLiBS3 at its PBEsol-relaxed geometry.

mass density = 2.9 g cm⁻³
space-group type = Pnma, No. 62
uncorrected formation energy = -1.4530 eV per atom
size of the total moment = 0.000 μB per atom
N(E_F) = 0.00 states/eV/atom

abc: 6.968 7.463 9.002
angles: 90.00 90.00 90.00
Sites, in units of the cell vectors:
Sr1 0.030 0.144 0.250
Sr2 0.530 0.356 0.750
Sr3 0.470 0.644 0.250
Sr4 0.970 0.856 0.750
Li1 0.500 0.000 0.000
Li2 0.500 0.000 0.500
Li3 0.000 0.500 0.500
Li4 0.000 0.500 0.000
B1 0.038 0.716 0.250
B2 0.462 0.216 0.250
B3 0.538 0.784 0.750
B4 0.962 0.284 0.750
S1 0.866 0.193 0.577
S2 0.134 0.807 0.423
S3 0.134 0.807 0.077
S4 0.876 0.524 0.250
S5 0.376 0.976 0.750
S6 0.624 0.024 0.250
S7 0.634 0.693 0.923
S8 0.634 0.693 0.577
S9 0.124 0.476 0.750
S10 0.366 0.307 0.423
S11 0.366 0.307 0.077
S12 0.866 0.193 0.923

(4)
Density functional theory data (SCAN) for LiB2Sb at its PBEsol-relaxed geometry.

mass density = 4.5 g cm⁻³
space-group type = I-42d, No. 122
uncorrected formation energy = 1.1651 eV per atom
size of the total moment = 0.000 μB per atom
N(E_F) = 0.43 states/eV/atom

abc: 4.911 5.354 5.354
angles: 77.86 62.70 62.70
Sites, in units of the cell vectors:
Sb1 0.000 0.000 0.000
Sb2 0.750 0.500 0.500
B1 0.875 0.037 0.463
B2 0.375 0.963 0.537
B3 0.662 0.463 0.963
B4 0.088 0.537 0.037
Li1 0.500 0.000 0.000
Li2 0.250 0.500 0.500

(5)
Density functional theory data (SCAN) for Li2Sc2B at its PBEsol-relaxed geometry.

mass density = 2.2 g cm⁻³
calculated formation energy = 1.100 eV per atom
space-group type = I4/mmm, No. 139
size of the total moment = 0.000 μB per atom
N(E_F) = 0.67 states/eV/atom

abc: 3.903 3.903 6.218
angles: 108.29 108.29 90.00
Sites, in units of the cell vectors:
Sc1 0.250 0.750 0.500
Sc2 0.750 0.250 0.500
B1 0.000 0.000 0.000
Li1 0.420 0.420 0.840
Li2 0.580 0.580 0.160

(6)
Density functional theory data (SCAN) for Li2TcBSe at its PBEsol-relaxed geometry.

mass density = 3.5 g cm⁻³
space-group type = P4/mmm, No. 123
uncorrected formation energy = 0.9110 eV per atom
size of the total moment = 0.576 μB per atom
N(E_F) = 0.33 states/eV/atom

abc: 3.842 5.002 5.002
angles: 90.00 90.00 90.00
Site moments in Bohr magnetons follow the coordinates.
Sites, in units of the cell vectors:
B1 0.500 0.000 0.000  -0.13
Tc1 0.000 0.000 0.000  2.31
Se1 0.500 0.500 0.500  0.16
Li1 0.000 0.000 0.500  0.03
Li2 0.000 0.500 0.000  0.03

(7)
Density functional theory data (SCAN) for LiSi2B at its PBEsol-relaxed geometry.

mass density = 2.4 g cm⁻³
space-group type = P4_2/nmc, No. 137
uncorrected formation energy = -0.1566 eV per atom
size of the total moment = 0.000 μB per atom

abc: 6.799 6.799 8.804
angles: 90.00 90.00 90.00
Sites, in units of the cell vectors:
Li1 0.254 0.500 0.174
Li2 0.746 0.500 0.174
Li3 0.000 0.754 0.674
Li4 0.000 0.246 0.674
Li5 0.246 0.000 0.326
Li6 0.754 0.000 0.326
Li7 0.500 0.746 0.826
Li8 0.500 0.254 0.826
Si1 0.819 0.500 0.886
Si2 0.181 0.500 0.886
Si3 0.000 0.319 0.386
Si4 0.000 0.681 0.386
Si5 0.681 0.000 0.614
Si6 0.319 0.000 0.614
Si7 0.500 0.181 0.114
Si8 0.500 0.819 0.114
Si9 0.316 0.500 0.629
Si10 0.684 0.500 0.629
Si11 0.000 0.816 0.129
Si12 0.000 0.184 0.129
Si13 0.184 0.000 0.871
Si14 0.816 0.000 0.871
Si15 0.500 0.684 0.371
Si16 0.500 0.316 0.371
B1 0.242 0.758 0.000
B2 0.758 0.758 0.000
B3 0.242 0.242 0.000
B4 0.758 0.242 0.000
B5 0.258 0.742 0.500
B6 0.742 0.742 0.500
B7 0.258 0.258 0.500
B8 0.742 0.258 0.500

(8)
Density functional theory data (SCAN) for LiSnB2 at its PBEsol-relaxed geometry.

mass density = 4.9 g cm⁻³
calculated formation energy = 1.133 eV per atom
space-group type = Fm-3m, No. 225
size of the total moment = 0.000 μB per atom
N(E_F) = 0.28 states/eV/atom

abc: 4.135 4.135 4.135
angles: 60.00 60.00 60.00
Sites, in units of the cell vectors:
B1 0.250 0.250 0.250
B2 0.750 0.750 0.750
Sn1 0.500 0.500 0.500
Li1 0.000 0.000 0.000

(9)
Density functional theory data (SCAN) for Sr2LiYB at its PBEsol-relaxed geometry.

mass density = 3.4 g cm⁻³
calculated formation energy = 0.838 eV per atom
space-group type = P4/mmm, No. 123
size of the total moment = 0.000 μB per atom
N(E_F) = 0.77 states/eV/atom

abc: 4.298 5.683 5.683
angles: 90.00 90.00 90.00
Sites, in units of the cell vectors:
Y1 0.500 0.500 0.500
Sr1 0.000 0.000 0.500
Sr2 0.000 0.500 0.000
B1 0.500 0.000 0.000
Li1 0.000 0.000 0.000

(10)
Density functional theory data (SCAN) for Li2ZrTaB at its PBEsol-relaxed geometry.

mass density = 5.9 g cm⁻³
calculated formation energy = 1.190 eV per atom
space-group type = P4/mmm, No. 123
size of the total moment = 0.112 μB per atom
N(E_F) = 0.90 states/eV/atom

abc: 4.171 4.466 4.466
angles: 90.00 90.00 90.00
Site moments in Bohr magnetons follow the coordinates.
Sites, in units of the cell vectors:
B1 0.500 0.000 0.000  -0.01
Li1 0.000 0.000 0.500  0.05
Li2 0.000 0.500 0.000  0.05
Zr1 0.500 0.500 0.500  -0.17
Ta1 0.000 0.000 0.000  0.59

(11)
Density functional theory data (SCAN) for LiTc3B at its PBEsol-relaxed geometry.

mass density = 7.8 g cm⁻³
calculated formation energy = 0.424 eV per atom
space-group type = Pm-3m, No. 221
size of the total moment = 0.000 μB per atom
N(E_F) = 0.99 states/eV/atom

abc: 4.054 4.054 4.054
angles: 90.00 90.00 90.00
Sites, in units of the cell vectors:
B1 0.000 0.000 0.000
Tc1 0.000 0.500 0.000
Tc2 0.000 0.000 0.500
Tc3 0.500 0.000 0.000
Li1 0.500 0.500 0.500

(12)
Density functional theory data (SCAN) for LiBTe2 at its PBEsol-relaxed geometry.

mass density = 3.6 g cm⁻³
space-group type = R-3m, No. 166
uncorrected formation energy = 0.0438 eV per atom
size of the total moment = 0.000 μB per atom
N(E_F) = 0.00 states/eV/atom

abc: 4.627 4.627 7.280
angles: 71.47 71.47 60.00
Sites, in units of the cell vectors:
B1 0.000 0.000 0.000
Te1 0.900 0.900 0.299
Te2 0.100 0.100 0.701
Li1 0.500 0.500 0.500

(13)
Density functional theory data (SCAN) for LiTl2B at its PBEsol-relaxed geometry.

mass density = 8.7 g cm⁻³
calculated formation energy = 0.499 eV per atom
space-group type = I-42d, No. 122
size of the total moment = 0.000 μB per atom
N(E_F) = 0.35 states/eV/atom

abc: 4.727 6.341 6.341
angles: 82.01 68.12 68.12
Sites, in units of the cell vectors:
Tl1 0.751 0.874 0.374
Tl2 0.999 0.126 0.626
Tl3 0.375 0.626 0.874
Tl4 0.875 0.374 0.126
B1 0.000 0.000 0.000
B2 0.750 0.500 0.500
Li1 0.500 0.000 0.000
Li2 0.250 0.500 0.500

(14)
Density functional theory data (SCAN) for Li2YB2 at its PBEsol-relaxed geometry.

mass density = 3.1 g cm⁻³
calculated formation energy = -0.114 eV per atom
space-group type = I4/mmm, No. 139
size of the total moment = 0.000 μB per atom
N(E_F) = 0.33 states/eV/atom

abc: 3.661 3.661 5.592
angles: 109.11 109.11 90.00
Sites, in units of the cell vectors:
Y1 0.000 0.000 0.000
B1 0.419 0.419 0.839
B2 0.581 0.581 0.161
Li1 0.250 0.750 0.500
Li2 0.750 0.250 0.500

(15)
Density functional theory data (SCAN) for LiYB3 at its PBEsol-relaxed geometry.

mass density = 2.1 g cm⁻³
calculated formation energy = 2.036 eV per atom
space-group type = Pm-3m, No. 221
size of the total moment = 0.171 μB per atom
N(E_F) = 0.85 states/eV/atom

abc: 4.659 4.659 4.659
angles: 90.00 90.00 90.00
Site moments in Bohr magnetons follow the coordinates.
Sites, in units of the cell vectors:
Y1 0.000 0.000 0.000  -0.23
B1 0.000 0.500 0.000  -0.10
B2 0.000 0.000 0.500  -0.10
B3 0.500 0.000 0.000  -0.10
Li1 0.500 0.500 0.500  0.00

(16)
Density functional theory data (SCAN) for Li2ZrZnB at its PBEsol-relaxed geometry.

mass density = 4.4 g cm⁻³
calculated formation energy = 0.302 eV per atom
space-group type = P4/mmm, No. 123
size of the total moment = 0.000 μB per atom
N(E_F) = 0.41 states/eV/atom

abc: 3.940 4.144 4.144
angles: 90.00 90.00 90.00
Sites, in units of the cell vectors:
Zn1 0.500 0.000 0.000
B1 0.000 0.000 0.000
Zr1 0.500 0.500 0.500
Li1 0.000 0.000 0.500
Li2 0.000 0.500 0.000

(17)
Density functional theory data (SCAN) for LuB2 at its PBEsol-relaxed geometry.

mass density = 9.9 g cm⁻³
calculated formation energy = -0.781 eV per atom
space-group type = P6/mmm, No. 191
size of the total moment = 0.000 μB per atom
N(E_F) = 0.29 states/eV/atom

abc: 3.217 3.217 3.678
angles: 90.00 90.00 120.00
Sites, in units of the cell vectors:
B1 0.667 0.333 0.500
B2 0.333 0.667 0.500
Lu1 0.000 0.000 0.000

(18)
Density functional theory data (SCAN) for LuB6 at its PBEsol-relaxed geometry.

mass density = 6.0 g cm⁻³
calculated formation energy = -0.352 eV per atom
space-group type = Pm-3m, No. 221
size of the total moment = 0.000 μB per atom
N(E_F) = 0.13 states/eV/atom

abc: 4.054 4.054 4.054
angles: 90.00 90.00 90.00
Sites, in units of the cell vectors:
B1 0.802 0.500 0.500
B2 0.198 0.500 0.500
B3 0.500 0.500 0.802
B4 0.500 0.500 0.198
B5 0.500 0.198 0.500
B6 0.500 0.802 0.500
Lu1 0.000 0.000 0.000

(19)
Density functional theory data (SCAN) for Na2Lu2B2TeO10 at its PBEsol-relaxed geometry.

mass density = 6.0 g cm⁻³
space-group type = P2_1/c, No. 14
uncorrected formation energy = -2.7081 eV per atom
size of the total moment = 0.000 μB per atom
N(E_F) = 0.00 states/eV/atom

abc: 6.242 6.611 9.734
angles: 90.00 90.00 103.23
Sites, in units of the cell vectors:
Na1 0.581 0.172 0.387
Na2 0.419 0.328 0.887
Na3 0.419 0.828 0.613
Na4 0.581 0.672 0.113
B1 0.338 0.373 0.599
B2 0.662 0.127 0.099
B3 0.662 0.627 0.401
B4 0.338 0.873 0.901
Lu1 0.126 0.023 0.166
Lu2 0.874 0.477 0.666
Lu3 0.874 0.977 0.834
Lu4 0.126 0.523 0.334
Te1 0.000 0.000 0.500
Te2 0.000 0.500 0.000
O1 0.473 0.047 0.168
O2 0.527 0.453 0.668
O3 0.527 0.953 0.832
O4 0.473 0.547 0.332
O5 0.998 0.181 0.346
O6 0.002 0.319 0.846
O7 0.002 0.819 0.654
O8 0.998 0.681 0.154
O9 0.293 0.159 0.565
O10 0.707 0.341 0.065
O11 0.707 0.841 0.435
O12 0.293 0.659 0.935
O13 0.809 0.010 0.061
O14 0.191 0.490 0.561
O15 0.191 0.990 0.939
O16 0.809 0.510 0.439
O17 0.835 0.139 0.619
O18 0.165 0.361 0.119
O19 0.165 0.861 0.381
O20 0.835 0.639 0.881

(20)
Density functional theory data (SCAN) for LuNiB4 at its PBEsol-relaxed geometry.

mass density = 8.5 g cm⁻³
calculated formation energy = -0.635 eV per atom
space-group type = Pbam, No. 55
size of the total moment = 0.000 μB per atom
N(E_F) = 0.27 states/eV/atom

abc: 3.305 5.815 11.287
angles: 90.00 90.00 90.00
Sites, in units of the cell vectors:
Lu1 0.500 0.627 0.650
Lu2 0.500 0.373 0.350
Lu3 0.500 0.127 0.850
Lu4 0.500 0.873 0.150
Ni1 0.500 0.634 0.912
Ni2 0.500 0.366 0.088
Ni3 0.500 0.134 0.588
Ni4 0.500 0.866 0.412
B1 0.000 0.864 0.967
B2 0.000 0.136 0.033
B3 0.000 0.364 0.533
B4 0.000 0.636 0.467
B5 0.000 0.979 0.692
B6 0.000 0.021 0.308
B7 0.000 0.479 0.808
B8 0.000 0.521 0.192
B9 0.000 0.786 0.814
B10 0.000 0.214 0.186
B11 0.000 0.286 0.686
B12 0.000 0.714 0.314
B13 0.000 0.886 0.548
B14 0.000 0.114 0.452
B15 0.000 0.386 0.952
B16 0.000 0.614 0.048

(21)
Density functional theory data (SCAN) for LuB4Os at its PBEsol-relaxed geometry.

mass density = 11.6 g cm⁻³
calculated formation energy = -0.679 eV per atom
space-group type = Pbam, No. 55
size of the total moment = 0.000 μB per atom
N(E_F) = 0.11 states/eV/atom

abc: 3.496 5.882 11.375
angles: 90.00 90.00 90.00
Sites, in units of the cell vectors:
Lu1 0.500 0.129 0.650
Lu2 0.500 0.871 0.350
Lu3 0.500 0.629 0.850
Lu4 0.500 0.371 0.150
B1 0.000 0.477 0.693
B2 0.000 0.523 0.307
B3 0.000 0.977 0.807
B4 0.000 0.023 0.193
B5 0.000 0.293 0.814
B6 0.000 0.707 0.186
B7 0.000 0.793 0.686
B8 0.000 0.207 0.314
B9 0.000 0.365 0.970
B10 0.000 0.635 0.030
B11 0.000 0.865 0.530
B12 0.000 0.135 0.470
B13 0.000 0.386 0.548
B14 0.000 0.614 0.452
B15 0.000 0.886 0.952
B16 0.000 0.114 0.048
Os1 0.500 0.142 0.906
Os2 0.500 0.858 0.094
Os3 0.500 0.642 0.594
Os4 0.500 0.358 0.406

(22)
Density functional theory data (SCAN) for LuBRh3 at its PBEsol-relaxed geometry.

mass density = 11.8 g cm⁻³
calculated formation energy = -0.943 eV per atom
space-group type = Pm-3m, No. 221
size of the total moment = 0.000 μB per atom
N(E_F) = 0.64 states/eV/atom

abc: 4.109 4.109 4.109
angles: 90.00 90.00 90.00
Sites, in units of the cell vectors:
Rh1 0.000 0.500 0.500
Rh2 0.500 0.500 0.000
Rh3 0.500 0.000 0.500
B1 0.500 0.500 0.500
Lu1 0.000 0.000 0.000